Rb3Pa3PtS8 | Alexandria | PBE-GGA | optimized geometry; formation energy without anion corrections = -1291.6 meV/atom; V = 28.77 Å³/atom; VASP energy = -5.988 eV/atom
1.0
6.5429 -4.2953 0.0000
6.5429 4.2953 0.0000
-3.8662 0.0000 7.6785
Rb Pa Pt S
3 3 1 8
direct
0.0000 0.0000 0.0000
0.0000 0.5000 0.0000
0.5000 0.0000 0.0000
0.0000 0.5000 0.5000
0.5000 0.0000 0.5000
0.5000 0.5000 0.5000
0.0000 0.0000 0.5000
0.1997 0.1997 0.6583
0.2649 0.6689 0.7126
0.2661 0.2661 0.3045
0.3311 0.7351 0.2874
0.6689 0.2649 0.7126
0.7339 0.7339 0.6955
0.7351 0.3311 0.2874
0.8003 0.8003 0.3417